(1)
Here is a geometry-optimized Ca2AcYTe4 structure from the Alexandria database. Energies are from GGA-PBE.

Summary:
DFT total energy, eV per atom: -4.88
Calculated volume, A^3/atom: 33.0

a b c (Å): 4.502 7.818 7.932
angles (deg): 109.08 90.00 90.00
Fractional coordinates of all 8 atoms:
Ca: 0.500 0.000 0.500
Ca: 0.000 0.500 0.500
Ac: 0.000 0.000 0.000
Y: 0.500 0.500 0.000
Te: 0.500 0.267 0.261
Te: 0.500 0.733 0.739
Te: 0.000 0.261 0.748
Te: 0.000 0.739 0.252

(2)
Here is a geometry-optimized RuPt structure from the Alexandria database. Energies are from GGA-PBE.

Summary:
DFT formation energy, eV per atom: 0.137
DFT total energy, eV per atom: -7.52
Calculated volume, A^3/atom: 15.4

a b c (Å): 2.714 6.014 3.870
angles (deg): 90.00 90.00 103.04
Fractional coordinates of all 4 atoms:
Pt: 0.423 0.846 0.250
Pt: 0.577 0.154 0.750
Ru: 0.199 0.397 0.250
Ru: 0.801 0.603 0.750

(3)
Here is a geometry-optimized RbAl2Cu2 structure from the Alexandria database. Energies are from GGA-PBE.

Summary:
DFT formation energy, eV per atom: 0.206
DFT total energy, eV per atom: -3.12
Energy above the most stable polymorph in this dataset, kJ per mole of atoms: 5.2
Calculated volume, A^3/atom: 18.9

a b c (Å): 8.322 8.322 2.735
angles (deg): 90.00 90.00 90.00
Fractional coordinates of all 10 atoms:
Cu: 0.350 0.850 0.000
Cu: 0.850 0.650 0.000
Cu: 0.650 0.150 0.000
Cu: 0.150 0.350 0.000
Rb: 0.000 0.000 0.000
Rb: 0.500 0.500 0.000
Al: 0.126 0.626 0.500
Al: 0.626 0.874 0.500
Al: 0.874 0.374 0.500
Al: 0.374 0.126 0.500

(4)
Here is a geometry-optimized CdCl2 structure from the Alexandria database. Energies are from GGA-PBE.

Summary:
DFT total energy, eV per atom: -2.58
Calculated volume, A^3/atom: 32.3

a b c (Å): 4.075 4.075 5.835
angles (deg): 90.00 90.00 90.00
Fractional coordinates of all 3 atoms:
Cl: 0.000 0.500 0.252
Cl: 0.500 0.000 0.748
Cd: 0.500 0.500 0.000

(5)
Here is a geometry-optimized In3Ga2 structure from the Alexandria database. Energies are from GGA-PBE.

Summary:
DFT formation energy, eV per atom: 0.033
DFT total energy, eV per atom: -2.82
Calculated volume, A^3/atom: 24.0

a b c (Å): 9.085 8.768 6.338
angles (deg): 43.04 44.21 58.79
Fractional coordinates of all 10 atoms:
In: 0.234 0.597 0.740
In: 0.571 0.903 0.760
In: 0.940 0.250 0.750
In: 0.060 0.750 0.250
In: 0.429 0.097 0.240
In: 0.766 0.403 0.260
Ga: 0.845 0.893 0.870
Ga: 0.607 0.607 0.630
Ga: 0.393 0.393 0.370
Ga: 0.155 0.107 0.130

(6)
Here is a geometry-optimized Na2BiPb9 structure from the Alexandria database. Energies are from GGA-PBE.

Summary:
DFT formation energy, eV per atom: -0.061
DFT total energy, eV per atom: -3.39
Calculated volume, A^3/atom: 30.6

a b c (Å): 4.883 4.883 15.386
angles (deg): 90.00 90.00 90.00
Fractional coordinates of all 12 atoms:
Na: 0.000 0.000 0.340
Na: 0.000 0.000 0.660
Bi: 0.000 0.000 0.000
Pb: 0.500 0.500 0.000
Pb: 0.500 0.500 0.336
Pb: 0.500 0.500 0.664
Pb: 0.500 0.000 0.173
Pb: 0.500 0.000 0.500
Pb: 0.500 0.000 0.827
Pb: 0.000 0.500 0.173
Pb: 0.000 0.500 0.500
Pb: 0.000 0.500 0.827

(7)
Here is a geometry-optimized PmTlCdSn structure from the Alexandria database. Energies are from GGA-PBE.

Summary:
DFT formation energy, eV per atom: -0.212
DFT total energy, eV per atom: -3.22
Energy above the most stable polymorph in this dataset, kJ per mole of atoms: 19.4
Calculated volume, A^3/atom: 27.4

a b c (Å): 5.372 5.372 5.372
angles (deg): 60.00 60.00 60.00
Fractional coordinates of all 4 atoms:
Tl: 0.500 0.500 0.500
Cd: 0.750 0.750 0.750
Sn: 0.000 0.000 0.000
Pm: 0.250 0.250 0.250

(8)
Here is a geometry-optimized Pr2ErSc structure from the Alexandria database. Energies are from GGA-PBE.

Summary:
DFT formation energy, eV per atom: 0.043
DFT total energy, eV per atom: -5.07
Energy above the most stable polymorph in this dataset, kJ per mole of atoms: 0.3
Calculated volume, A^3/atom: 31.5

a b c (Å): 4.884 5.083 5.083
angles (deg): 90.00 90.00 90.00
Fractional coordinates of all 4 atoms:
Pr: 0.000 0.000 0.500
Pr: 0.000 0.500 0.000
Sc: 0.500 0.000 0.000
Er: 0.500 0.500 0.500

(9)
Here is a geometry-optimized Ce2HfNbN4 structure from the Alexandria database. Energies are from GGA-PBE.

Summary:
DFT total energy, eV per atom: -9.66
Calculated volume, A^3/atom: 13.3

a b c (Å): 3.293 5.723 5.942
angles (deg): 108.60 90.00 90.00
Fractional coordinates of all 8 atoms:
Ce: 0.500 0.000 0.500
Ce: 0.000 0.500 0.500
Hf: 0.000 0.000 0.000
Nb: 0.500 0.500 0.000
N: 0.500 0.237 0.213
N: 0.500 0.763 0.787
N: 0.000 0.261 0.785
N: 0.000 0.739 0.215

(10)
Here is a geometry-optimized HoThOsPt structure from the Alexandria database. Energies are from GGA-PBE.

Summary:
DFT formation energy, eV per atom: -0.647
DFT total energy, eV per atom: -7.96
Calculated volume, A^3/atom: 21.9

a b c (Å): 4.984 4.984 4.984
angles (deg): 60.00 60.00 60.00
Fractional coordinates of all 4 atoms:
Os: 0.000 0.000 0.000
Pt: 0.500 0.500 0.500
Th: 0.750 0.750 0.750
Ho: 0.250 0.250 0.250

(11)
Here is a geometry-optimized Tb4CeCu5 structure from the Alexandria database. Energies are from GGA-PBE.

Summary:
DFT formation energy, eV per atom: -0.194
DFT total energy, eV per atom: -4.69
Calculated volume, A^3/atom: 21.3

a b c (Å): 3.466 3.466 17.731
angles (deg): 90.00 90.00 90.00
Fractional coordinates of all 10 atoms:
Tb: 0.000 0.000 0.203
Tb: 0.000 0.000 0.401
Tb: 0.000 0.000 0.599
Tb: 0.000 0.000 0.797
Ce: 0.000 0.000 0.000
Cu: 0.500 0.500 0.107
Cu: 0.500 0.500 0.302
Cu: 0.500 0.500 0.500
Cu: 0.500 0.500 0.698
Cu: 0.500 0.500 0.893

(12)
Here is a geometry-optimized Ba2PuGaSe5 structure from the Alexandria database. Energies are from GGA-PBE.

Summary:
DFT total energy, eV per atom: -5.79
Calculated volume, A^3/atom: 30.7

a b c (Å): 4.285 9.825 13.434
angles (deg): 90.00 90.00 102.60
Fractional coordinates of all 18 atoms:
Ba: 0.874 0.748 0.829
Ba: 0.120 0.240 0.686
Ba: 0.126 0.252 0.329
Ba: 0.880 0.760 0.186
Pu: 0.799 0.597 0.525
Pu: 0.201 0.403 0.025
Ga: 0.558 0.116 0.929
Ga: 0.442 0.884 0.429
Se: 0.349 0.698 0.009
Se: 0.684 0.367 0.875
Se: 0.499 0.998 0.772
Se: 0.297 0.594 0.668
Se: 0.957 0.914 0.531
Se: 0.651 0.302 0.509
Se: 0.316 0.633 0.375
Se: 0.501 0.002 0.272
Se: 0.703 0.406 0.168
Se: 0.043 0.086 0.031

What did the eighth record say?
Here is a geometry-optimized Pr2ErSc structure from the Alexandria database. Energies are from GGA-PBE.

Summary:
DFT formation energy, eV per atom: 0.043
DFT total energy, eV per atom: -5.07
Energy above the most stable polymorph in this dataset, kJ per mole of atoms: 0.3
Calculated volume, A^3/atom: 31.5

a b c (Å): 4.884 5.083 5.083
angles (deg): 90.00 90.00 90.00
Fractional coordinates of all 4 atoms:
Pr: 0.000 0.000 0.500
Pr: 0.000 0.500 0.000
Sc: 0.500 0.000 0.000
Er: 0.500 0.500 0.500